No. 1
Density functional theory data (GGA-PBEsol) for an optimized crystal structure of KZrAg2.

Results
Its calculated volume is 98.0 Å³/f.u. The space group is Pmm2, No. 25. The excess energy over the best structure of this formula in the dataset comes out at 197.7 meV per atom. The spin magnetization comes out at 0.0 μB/cell. The calculated formation energy comes out at 340 meV/atom.

Cell lengths 3.0199, 3.7522, 8.6507 Å; angles 90.00, 90.00, 90.00 degrees
Closest atoms and distances in Å follow each position.
Positions (direct):
K  0.0000  0.0000  0.0000  2 K 3.02
Zr  0.5000  0.5000  0.3706  5 Ag 2.90-3.01, 2 Zr 3.02
Ag  0.0000  0.0000  0.5571  6 Ag 2.78-3.02, 4 Zr 2.90
Ag  0.5000  0.5000  0.7185  6 Ag 2.78-3.02, 1 Zr 3.01

=====

No. 2
Density functional theory data (GGA-PBEsol) for an optimized crystal structure of Sr3PrMn4O12.

Results
Its calculated volume is 219.8 Å³/f.u. The space group is Im-3m, No. 229. As for the uncorrected formation energy: -2.39 eV/atom. The excess energy over the best structure of this formula in the dataset comes out at 3.7 meV per atom. The spin magnetization comes out at 13.0 μB/cell.

Cell lengths 6.5854, 6.5854, 6.5854 Å; angles 109.47, 109.47, 109.47 degrees
Closest atoms and distances in Å follow each position.
Positions (direct):
Sr  0.0000  0.5000  0.5000  12 O 2.69-2.74
Sr  0.5000  0.0000  0.5000  12 O 2.69-2.74
Sr  0.5000  0.5000  0.0000  12 O 2.69-2.74
Pr  0.0000  0.0000  0.0000  12 O 2.64
Mn  0.0000  0.0000  0.5000  6 O 1.90
Mn  0.0000  0.5000  0.0000  6 O 1.90
Mn  0.5000  0.0000  0.0000  6 O 1.90
Mn  0.5000  0.5000  0.5000  6 O 1.90
O  0.0000  0.2456  0.7544  2 Mn 1.90
O  0.0000  0.7544  0.2456  2 Mn 1.90
O  0.2456  0.0000  0.7544  2 Mn 1.90
O  0.2456  0.2456  0.4911  2 Mn 1.90
O  0.2456  0.4911  0.2456  2 Mn 1.90
O  0.2456  0.7544  0.0000  2 Mn 1.90
O  0.4911  0.2456  0.2456  2 Mn 1.90
O  0.5089  0.7544  0.7544  2 Mn 1.90
O  0.7544  0.0000  0.2456  2 Mn 1.90
O  0.7544  0.2456  0.0000  2 Mn 1.90
O  0.7544  0.5089  0.7544  2 Mn 1.90
O  0.7544  0.7544  0.5089  2 Mn 1.90

=====

No. 3
Density functional theory data (GGA-PBEsol) for an optimized crystal structure of SmFe2SiC.

Results
Its calculated volume is 65.6 Å³/f.u. The space group is Cmcm, No. 63. As for the uncorrected formation energy: -0.54 eV/atom. The spin magnetization comes out at 1.1 μB/cell.

Cell lengths 5.5154, 5.5154, 6.6630 Å; angles 90.00, 90.00, 139.64 degrees
Closest atoms and distances in Å follow each position.
Positions (direct):
Sm  0.0534  0.9466  0.7500  4 C 2.59
Sm  0.9466  0.0534  0.2500  4 C 2.59
Fe  0.3346  0.6654  0.5646  1 C 1.77
Fe  0.3346  0.6654  0.9354  1 C 1.77
Fe  0.6654  0.3346  0.0646  1 C 1.77
Fe  0.6654  0.3346  0.4354  1 C 1.77
Si  0.2281  0.7719  0.2500  6 Fe 2.36-2.37
Si  0.7719  0.2281  0.7500  6 Fe 2.36-2.37
C  0.5000  0.5000  0.0000  2 Fe 1.77
C  0.5000  0.5000  0.5000  2 Fe 1.77

=====

No. 4
Density functional theory data (GGA-PBEsol) for an optimized crystal structure of LaTl.

Results
Its calculated volume is 60.7 Å³/f.u. The space group is P4/nmm, No. 129. The spin magnetization comes out at 0.0 μB/cell. The calculated formation energy comes out at -198 meV/atom.

Cell lengths 4.2639, 4.2639, 6.6732 Å; angles 90.00, 90.00, 90.00 degrees
Closest atoms and distances in Å follow each position.
Positions (direct):
La  0.2500  0.2500  0.1420  6 Tl 3.24-3.43, 4 La 3.56
La  0.7500  0.7500  0.8580  6 Tl 3.24-3.43, 4 La 3.56
Tl  0.2500  0.2500  0.6276  6 La 3.24-3.43, 4 Tl 3.46
Tl  0.7500  0.7500  0.3724  6 La 3.24-3.43, 4 Tl 3.46